AlNi | PBE | optimized geometry

* E_form: -0.60 eV/atom

```
AlNi
1.0
2.957 0.000 0.000
0.000 12.323 0.000
0.000 0.000 4.037
Al Ni
6 6
Cartesian
0.739 1.096 0.377 Al
0.739 3.081 2.379 Al
0.739 5.066 0.377 Al
2.218 7.257 3.660 Al
2.218 9.242 1.658 Al
2.218 11.227 3.660 Al
0.739 7.237 1.637 Ni
0.739 9.242 3.678 Ni
0.739 11.247 1.637 Ni
2.218 1.076 2.400 Ni
2.218 3.081 0.358 Ni
2.218 5.086 2.400 Ni
```


InFe3Si | PBE | optimized geometry

* formation energy without anion corrections: 8.5 eV/f.u.
* ΔE to the lowest computed polymorph: 1.259 eV per atom

```
InFe3Si
1.0
4.747 0.000 0.000
0.000 4.747 0.000
0.000 0.000 4.747
In Fe Si
1 3 1
Cartesian
0.000 0.000 0.000 In
0.000 0.000 2.374 Fe
0.000 2.374 0.000 Fe
2.374 0.000 0.000 Fe
2.374 2.374 2.374 Si
```


Li2ZrPb | PBE | optimized geometry

* E_form: -0.02 eV/atom

```
Li2ZrPb
1.0
10.034 0.000 0.000
0.000 3.221 0.000
-0.788 0.000 5.257
Li Zr Pb
4 2 2
Cartesian
2.289 0.000 1.255 Li
1.940 1.610 4.003 Li
7.306 1.610 1.255 Li
6.957 0.000 4.003 Li
-0.394 0.000 2.629 Zr
4.623 1.610 2.629 Zr
0.000 1.610 0.000 Pb
5.017 0.000 0.000 Pb
```


Tb2Y3Er5 | PBE | optimized geometry

* E_form: 0.20 eV/atom

```
Tb2Y3Er5
1.0
5.307 -7.829 0.000
5.307 7.829 0.000
-5.283 0.000 7.819
Tb Y Er
4 6 10
Cartesian
1.284 1.898 0.381 Tb
-1.358 -1.898 4.290 Tb
6.689 1.898 3.528 Tb
4.047 -1.898 7.438 Tb
1.286 1.881 3.544 Y
3.986 3.619 1.955 Y
-1.355 -1.881 7.453 Y
6.686 1.881 0.365 Y
1.345 -3.619 5.864 Y
4.044 -1.881 4.274 Y
1.345 7.429 5.864 Er
-1.300 1.776 5.986 Er
1.345 4.220 5.864 Er
1.342 -1.776 2.077 Er
3.986 0.467 1.955 Er
1.345 -0.467 5.864 Er
3.989 1.776 5.742 Er
3.986 -4.220 1.955 Er
6.631 -1.776 1.832 Er
3.986 -7.429 1.955 Er
```


ErMg2Rh4 | PBE | optimized geometry

* E_form: -0.21 eV/atom

```
ErMg2Rh4
1.0
6.403 0.000 0.000
0.000 6.403 0.000
0.000 0.000 6.008
Er Mg Rh
2 4 8
Cartesian
0.000 0.000 0.000 Er
3.202 3.202 3.004 Er
0.000 3.202 0.000 Mg
0.000 3.202 3.004 Mg
3.202 0.000 0.000 Mg
3.202 0.000 3.004 Mg
1.601 1.601 1.502 Rh
1.601 1.601 4.506 Rh
1.601 4.803 1.502 Rh
1.601 4.803 4.506 Rh
4.803 1.601 1.502 Rh
4.803 1.601 4.506 Rh
4.803 4.803 1.502 Rh
4.803 4.803 4.506 Rh
```


ZrScP | PBE | optimized geometry

* E_form: -0.94 eV/atom

```
ZrScP
1.0
10.121 0.000 0.000
0.000 3.588 0.000
-3.776 0.000 6.342
Zr Sc P
4 4 4
Cartesian
0.000 0.000 0.000 Zr
-1.828 1.794 4.425 Zr
5.060 1.794 0.000 Zr
3.233 0.000 4.425 Zr
0.842 1.794 2.697 Sc
2.770 0.000 0.767 Sc
5.903 0.000 2.697 Sc
7.830 1.794 0.767 Sc
-1.373 0.000 2.423 P
0.408 0.000 4.695 P
3.688 1.794 2.423 P
5.468 1.794 4.695 P
```


LaGaI4 | PBE | optimized geometry

* formation energy without anion corrections: -6.7 eV/f.u.

```
LaGaI4
1.0
17.179 0.000 0.000
0.000 4.721 0.000
-3.978 0.000 7.262
La Ga I
2 2 8
Cartesian
0.000 0.000 0.000 La
8.590 2.361 0.000 La
-1.989 2.361 3.631 Ga
6.601 0.000 3.631 Ga
-1.222 0.000 5.807 I
0.944 2.361 1.996 I
3.667 0.000 5.266 I
5.834 2.361 1.455 I
7.367 2.361 5.807 I
9.534 0.000 1.996 I
12.257 2.361 5.266 I
14.423 0.000 1.455 I
```


Number 1: Fermi-level density of states 0.43 states/eV/atom, uncorrected energy -64.324 eV for the cell shown. Number 2: Fermi-level density of states 1.54 states/eV/atom, uncorrected energy -25.077 eV for the cell shown. Number 3: Fermi-level density of states 0.40 states/eV/atom, uncorrected energy -32.298 eV for the cell shown. Number 4: Fermi-level density of states 1.79 states/eV/atom, uncorrected energy -98.882 eV for the cell shown. Number 5: Fermi-level density of states 0.94 states/eV/atom, uncorrected energy -77.241 eV for the cell shown. Number 6: Fermi-level density of states 0.70 states/eV/atom, uncorrected energy -92.478 eV for the cell shown. Number 7: Fermi-level density of states 0.00 states/eV/atom, uncorrected energy -41.751 eV for the cell shown.